Below is a geometry-optimized SrZrZn2 structure, with properties calculated at the PBE level.

Results
Total magnetic moment = 0.479 μB per atom
Calculated formation energy = 44.4 kJ/mol of atoms
DOS at the Fermi energy = 5.1 states/eV/f.u.
Space-group type = F-43m (216)

extended XYZ file:
```
4
Lattice="0.000 3.573 3.573 3.573 0.000 3.573 3.573 3.573 0.000" Properties=species:S:1:pos:R:3 pbc="T T T"
Sr 0.000 0.000 0.000
Zr 5.359 5.359 5.359
Zn 1.786 1.786 1.786
Zn 3.573 3.573 3.573
```

Below is a geometry-optimized Sr2Ga3Pt4Au structure, with properties calculated at the PBE level.

Results
Total magnetic moment = 0.000 μB per atom
Calculated formation energy = -74.8 kJ/mol of atoms
DOS at the Fermi energy = 5.4 states/eV/f.u.
Space-group type = P-4m2 (115)

extended XYZ file:
```
10
Lattice="4.427 0.000 0.000 0.000 4.427 0.000 0.000 0.000 10.582" Properties=species:S:1:pos:R:3 pbc="T T T"
Sr 0.000 2.213 2.645
Sr 2.213 0.000 7.937
Ga 0.000 0.000 0.000
Ga 0.000 2.213 6.556
Ga 2.213 0.000 4.026
Pt 0.000 0.000 5.291
Pt 0.000 2.213 9.020
Pt 2.213 0.000 1.562
Pt 2.213 2.213 5.291
Au 2.213 2.213 0.000
```

Below is a geometry-optimized Li2HgS structure, with properties calculated at the PBE level.

Results
Total magnetic moment = 0.000 μB per atom
Offset from the most stable computed form = 0.2050 eV/atom
Uncorrected formation energy = -0.657 eV/atom
DOS at the Fermi energy = 0.0 states/eV/f.u.
Space-group type = Fm-3m (225)

extended XYZ file:
```
4
Lattice="0.000 3.306 3.306 3.306 0.000 3.306 3.306 3.306 0.000" Properties=species:S:1:pos:R:3 pbc="T T T"
Li 1.653 1.653 1.653
Li 4.960 4.960 4.960
Hg 0.000 0.000 0.000
S 3.306 3.306 3.306
```

Below is a geometry-optimized Ta2Nb2N3 structure, with properties calculated at the PBE level.

Results
Total magnetic moment = 0.000 μB per atom
Uncorrected formation energy = -0.890 eV/atom
DOS at the Fermi energy = 3.1 states/eV/f.u.
Space-group type = C2/m (12)

extended XYZ file:
```
7
Lattice="5.229 -1.527 0.000 5.229 1.527 0.000 -1.032 0.000 5.297" Properties=species:S:1:pos:R:3 pbc="T T T"
Ta 0.901 0.000 1.976
Ta 8.525 0.000 3.321
Nb 3.853 0.000 0.847
Nb 5.573 0.000 4.450
N 0.000 0.000 0.000
N 1.916 0.000 4.024
N 7.510 0.000 1.273
```

Below is a geometry-optimized In3Cu3SiSe8 structure, with properties calculated at the PBE level.

Results
Total magnetic moment = 0.000 μB per atom
Uncorrected formation energy = -0.431 eV/atom
DOS at the Fermi energy = 0.2 states/eV/f.u.
Space-group type = P-4 (81)

extended XYZ file:
```
15
Lattice="5.855 0.000 0.000 0.000 5.855 0.000 0.000 0.000 11.184" Properties=species:S:1:pos:R:3 pbc="T T T"
In 0.000 0.000 0.000
In 0.000 2.928 2.962
In 2.928 0.000 8.221
Cu 0.000 2.928 8.218
Cu 2.928 0.000 2.966
Cu 2.928 2.928 0.000
Si 2.928 2.928 5.592
Se 1.410 1.590 6.732
Se 1.452 4.222 9.703
Se 1.590 4.446 4.451
Se 1.633 1.452 1.481
Se 4.222 4.404 1.481
Se 4.265 1.410 4.451
Se 4.404 1.633 9.703
Se 4.446 4.265 6.732
```

Below is a geometry-optimized RbCaNb structure, with properties calculated at the PBE level.

Results
Total magnetic moment = 1.488 μB per atom
Calculated formation energy = 129.0 kJ/mol of atoms
Offset from the most stable computed form = 0.9912 eV/atom
DOS at the Fermi energy = 4.6 states/eV/f.u.
Space-group type = P6_3/mmc (194)

extended XYZ file:
```
6
Lattice="6.159 0.000 0.000 -3.079 5.334 0.000 0.000 0.000 7.082" Properties=species:S:1:pos:R:3 pbc="T T T"
Rb 0.000 0.000 0.000
Rb 0.000 0.000 3.541
Ca 0.000 3.556 1.770
Ca 3.079 1.778 5.311
Nb 0.000 3.556 5.311
Nb 3.079 1.778 1.770
```

Below is a geometry-optimized Cs2CdI3Br structure, with properties calculated at the PBE level.

Results
Total magnetic moment = 0.000 μB per atom
Uncorrected formation energy = -1.202 eV/atom
DOS at the Fermi energy = 0.0 states/eV/f.u.
Space-group type = Immm (71)

extended XYZ file:
```
7
Lattice="-2.906 3.009 9.487 2.906 -3.009 9.487 2.906 3.009 -9.487" Properties=species:S:1:pos:R:3 pbc="T T T"
Cs 0.000 0.000 2.586
Cs 0.000 0.000 16.388
Cd 0.000 0.000 9.487
I 2.906 0.000 0.000
I 0.000 0.000 6.522
I 0.000 0.000 12.451
Br 0.000 3.009 0.000
```

Below is a geometry-optimized ScPRu2S structure, with properties calculated at the PBE level.

Results
Total magnetic moment = 0.502 μB per atom
Uncorrected formation energy = 1.352 eV/atom
DOS at the Fermi energy = 7.9 states/eV/f.u.
Space-group type = P4/mmm (123)

extended XYZ file:
```
5
Lattice="4.765 0.000 0.000 0.000 4.765 0.000 0.000 0.000 4.606" Properties=species:S:1:pos:R:3 pbc="T T T"
Sc 0.000 0.000 0.000
P 2.383 2.383 2.303
Ru 0.000 2.383 0.000
Ru 2.383 0.000 0.000
S 0.000 0.000 2.303
```

Below is a geometry-optimized Ho3GaCu3 structure, with properties calculated at the PBE level.

Results
Total magnetic moment = 0.000 μB per atom
Calculated formation energy = -32.2 kJ/mol of atoms
DOS at the Fermi energy = 6.3 states/eV/f.u.
Space-group type = C2/m (12)

extended XYZ file:
```
14
Lattice="5.098 -2.077 0.000 5.098 2.077 0.000 -4.794 0.000 13.557" Properties=species:S:1:pos:R:3 pbc="T T T"
Ho -1.500 0.000 5.276
Ho -3.356 0.000 12.488
Ho 1.438 0.000 3.140
Ho 3.964 0.000 10.418
Ho 8.758 0.000 1.069
Ho 6.902 0.000 8.281
Ga -0.306 0.000 8.224
Ga 5.709 0.000 5.334
Cu 1.563 0.000 6.209
Cu -0.393 0.000 12.506
Cu 1.028 0.000 10.411
Cu 4.375 0.000 3.146
Cu 5.795 0.000 1.052
Cu 3.840 0.000 7.348
```

Below is a geometry-optimized SbPd2Se3 structure, with properties calculated at the PBE level.

Results
Total magnetic moment = 0.000 μB per atom
Uncorrected formation energy = -0.216 eV/atom
DOS at the Fermi energy = 3.2 states/eV/f.u.
Space-group type = R-3m (166)

extended XYZ file:
```
12
Lattice="3.701 2.137 5.639 -3.701 2.137 5.639 0.000 -4.273 5.639" Properties=species:S:1:pos:R:3 pbc="T T T"
Sb 0.000 0.000 3.832
Sb 0.000 0.000 13.084
Pd 0.000 0.000 0.000
Pd -1.850 -1.068 5.639
Pd -1.850 1.068 11.277
Pd 0.000 2.137 5.639
Se 0.000 -2.155 7.004
Se -1.866 1.078 7.004
Se -1.866 -1.078 9.912
Se 1.866 1.078 7.004
Se 1.866 -1.078 9.912
Se 0.000 2.155 9.912
```

Below is a geometry-optimized V2SiNi9 structure, with properties calculated at the PBE level.

Results
Total magnetic moment = 0.099 μB per atom
Uncorrected formation energy = -0.277 eV/atom
DOS at the Fermi energy = 9.7 states/eV/f.u.
Space-group type = P4/mmm (123)

extended XYZ file:
```
12
Lattice="3.547 0.000 0.000 0.000 3.547 0.000 0.000 0.000 10.596" Properties=species:S:1:pos:R:3 pbc="T T T"
V 0.000 0.000 1.803
V 0.000 0.000 8.793
Si 0.000 0.000 5.298
Ni 0.000 1.773 0.000
Ni 0.000 1.773 3.548
Ni 0.000 1.773 7.049
Ni 1.773 0.000 0.000
Ni 1.773 0.000 3.548
Ni 1.773 0.000 7.049
Ni 1.773 1.773 1.772
Ni 1.773 1.773 5.298
Ni 1.773 1.773 8.824
```

Below is a geometry-optimized Li3Ac3TcO8 structure, with properties calculated at the PBE level.

Results
Total magnetic moment = 0.200 μB per atom
Uncorrected formation energy = -2.298 eV/atom
Space-group type = R-3m (166)

extended XYZ file:
```
15
Lattice="3.653 2.109 4.886 -3.653 2.109 4.886 0.000 -4.218 4.886" Properties=species:S:1:pos:R:3 pbc="T T T"
Li -1.826 -1.055 4.886
Li -1.826 1.055 9.772
Li 0.000 2.109 4.886
Ac -3.653 0.000 7.329
Ac -1.826 1.055 2.443
Ac 1.826 1.055 2.443
Tc 0.000 0.000 7.329
O 0.000 0.000 3.614
O 0.000 -1.772 6.187
O -1.535 0.886 6.187
O -1.535 -0.886 8.471
O 1.535 0.886 6.187
O 1.535 -0.886 8.471
O 0.000 1.772 8.471
O 0.000 0.000 11.044
```

Below is a geometry-optimized NaCe2Ru structure, with properties calculated at the PBE level.

Results
Total magnetic moment = 0.406 μB per atom
Calculated formation energy = 2.0 kJ/mol of atoms
DOS at the Fermi energy = 12.1 states/eV/f.u.
Space-group type = R-3m (166)

extended XYZ file:
```
4
Lattice="1.968 1.136 10.422 -1.968 1.136 10.422 0.000 -2.272 10.422" Properties=species:S:1:pos:R:3 pbc="T T T"
Na 0.000 0.000 0.000
Ce 0.000 0.000 3.682
Ce 0.000 0.000 27.584
Ru 0.000 0.000 15.633
```

Below is a geometry-optimized NbGeB2Ru structure, with properties calculated at the PBE level.

Results
Total magnetic moment = 0.002 μB per atom
Calculated formation energy = 91.3 kJ/mol of atoms
DOS at the Fermi energy = 5.1 states/eV/f.u.
Space-group type = P4/mmm (123)

extended XYZ file:
```
5
Lattice="3.926 0.000 0.000 0.000 3.926 0.000 0.000 0.000 4.945" Properties=species:S:1:pos:R:3 pbc="T T T"
Nb 0.000 0.000 0.000
Ge 1.963 1.963 0.000
B 0.000 1.963 2.472
B 1.963 0.000 2.472
Ru 1.963 1.963 2.472
```

Below is a geometry-optimized HfVPt2Rh structure, with properties calculated at the PBE level.

Results
Total magnetic moment = 0.000 μB per atom
Calculated formation energy = 68.2 kJ/mol of atoms
DOS at the Fermi energy = 4.6 states/eV/f.u.
Space-group type = P4/mmm (123)

extended XYZ file:
```
5
Lattice="4.520 0.000 0.000 0.000 4.520 0.000 0.000 0.000 4.758" Properties=species:S:1:pos:R:3 pbc="T T T"
Hf 0.000 0.000 0.000
V 0.000 0.000 2.379
Pt 0.000 2.260 2.379
Pt 2.260 0.000 2.379
Rh 2.260 2.260 0.000
```

Below is a geometry-optimized Y3TeAs2 structure, with properties calculated at the PBE level.

Results
Total magnetic moment = 0.000 μB per atom
Uncorrected formation energy = -1.145 eV/atom
DOS at the Fermi energy = 3.4 states/eV/f.u.
Space-group type = C2/m (12)

extended XYZ file:
```
12
Lattice="7.283 -2.074 0.000 7.283 2.074 0.000 -2.739 0.000 10.809" Properties=species:S:1:pos:R:3 pbc="T T T"
Y 0.503 0.000 4.610
Y 1.854 0.000 0.620
Y 4.884 0.000 2.807
Y 6.943 0.000 8.002
Y 9.972 0.000 10.189
Y 11.323 0.000 6.199
Te 1.985 0.000 7.527
Te 9.842 0.000 3.282
As -2.081 0.000 8.709
As 7.283 0.000 0.000
As 5.913 0.000 5.404
As 13.908 0.000 2.100
```

Below is a geometry-optimized La2SnAs structure, with properties calculated at the PBE level.

Results
Total magnetic moment = 0.000 μB per atom
Calculated formation energy = -78.2 kJ/mol of atoms
Offset from the most stable computed form = 0.3669 eV/atom
DOS at the Fermi energy = 6.6 states/eV/f.u.
Space-group type = Fm-3m (225)

extended XYZ file:
```
4
Lattice="0.000 3.868 3.868 3.868 0.000 3.868 3.868 3.868 0.000" Properties=species:S:1:pos:R:3 pbc="T T T"
La 1.934 1.934 1.934
La 5.802 5.802 5.802
Sn 0.000 0.000 0.000
As 3.868 3.868 3.868
```

Below is a geometry-optimized DyTmLuPa structure, with properties calculated at the PBE level.

Results
Total magnetic moment = 0.388 μB per atom
Calculated formation energy = 32.5 kJ/mol of atoms
DOS at the Fermi energy = 10.5 states/eV/f.u.
Space-group type = F-43m (216)

extended XYZ file:
```
4
Lattice="0.000 3.888 3.888 3.888 0.000 3.888 3.888 3.888 0.000" Properties=species:S:1:pos:R:3 pbc="T T T"
Dy 0.000 0.000 0.000
Tm 3.888 3.888 3.888
Lu 5.832 5.832 5.832
Pa 1.944 1.944 1.944
```

Below is a geometry-optimized CdCu2Re structure, with properties calculated at the PBE level.

Results
Total magnetic moment = 0.000 μB per atom
Calculated formation energy = 33.8 kJ/mol of atoms
DOS at the Fermi energy = 3.4 states/eV/f.u.
Space-group type = R3m (160)

extended XYZ file:
```
4
Lattice="1.387 0.801 8.968 -1.387 0.801 8.968 0.000 -1.602 8.968" Properties=species:S:1:pos:R:3 pbc="T T T"
Cd 0.000 0.000 0.000
Cu 0.000 0.000 6.617
Cu 0.000 0.000 13.606
Re 0.000 0.000 20.466
```

Below is a geometry-optimized LaGa4CuPt2 structure, with properties calculated at the PBE level.

Results
Total magnetic moment = 0.000 μB per atom
Calculated formation energy = -59.4 kJ/mol of atoms
DOS at the Fermi energy = 2.4 states/eV/f.u.
Space-group type = R-3m (166)

extended XYZ file:
```
8
Lattice="2.157 1.245 8.935 -2.157 1.245 8.935 0.000 -2.491 8.935" Properties=species:S:1:pos:R:3 pbc="T T T"
La 0.000 0.000 0.000
Ga 0.000 0.000 3.555
Ga 0.000 0.000 10.786
Ga 0.000 0.000 16.020
Ga 0.000 0.000 23.251
Cu 0.000 0.000 13.403
Pt 0.000 0.000 6.314
Pt 0.000 0.000 20.492
```

Below is a geometry-optimized Li3Pa2MnN6 structure, with properties calculated at the PBE level.

Results
Total magnetic moment = 0.169 μB per atom
Uncorrected formation energy = -0.841 eV/atom
DOS at the Fermi energy = 6.1 states/eV/f.u.
Space-group type = C2/m (12)

extended XYZ file:
```
12
Lattice="2.811 -5.096 0.000 2.811 5.096 0.000 -1.522 0.000 5.063" Properties=species:S:1:pos:R:3 pbc="T T T"
Li 0.000 0.000 0.000
Li 2.811 1.265 0.000
Li 2.811 -1.265 0.000
Pa 2.050 3.402 2.532
Pa 2.050 -3.402 2.532
Mn 2.050 0.000 2.532
N 1.156 1.524 1.461
N 0.293 0.000 3.629
N 1.156 -1.524 1.461
N 2.943 1.524 3.603
N 3.806 0.000 1.434
N 2.943 -1.524 3.603
```

Below is a geometry-optimized ZrTc2Ir structure, with properties calculated at the PBE level.

Results
Total magnetic moment = 0.000 μB per atom
Calculated formation energy = -16.9 kJ/mol of atoms
Offset from the most stable computed form = 0.0064 eV/atom
DOS at the Fermi energy = 3.7 states/eV/f.u.
Space-group type = Pm (6)

extended XYZ file:
```
4
Lattice="2.855 0.000 0.000 0.000 4.460 0.000 -0.841 0.000 5.120" Properties=species:S:1:pos:R:3 pbc="T T T"
Zr 0.000 0.000 0.000
Tc 0.134 2.230 3.376
Tc 1.251 0.000 2.595
Ir 1.473 2.230 1.031
```

Below is a geometry-optimized ReTeRu2 structure, with properties calculated at the PBE level.

Results
Total magnetic moment = 0.000 μB per atom
Uncorrected formation energy = 0.533 eV/atom
DOS at the Fermi energy = 4.1 states/eV/f.u.
Space-group type = Imm2 (44)

extended XYZ file:
```
4
Lattice="-1.526 2.256 4.668 1.526 -2.256 4.668 1.526 2.256 -4.668" Properties=species:S:1:pos:R:3 pbc="T T T"
Re 0.000 0.000 0.000
Te 0.000 2.256 2.506
Ru 1.526 0.000 2.398
Ru 0.000 0.000 5.106
```

Below is a geometry-optimized HoTh3S structure, with properties calculated at the PBE level.

Results
Total magnetic moment = 0.000 μB per atom
Uncorrected formation energy = -0.569 eV/atom
DOS at the Fermi energy = 4.7 states/eV/f.u.
Space-group type = Pm-3m (221)

extended XYZ file:
```
5
Lattice="5.422 0.000 0.000 0.000 5.422 0.000 0.000 0.000 5.422" Properties=species:S:1:pos:R:3 pbc="T T T"
Ho 0.000 0.000 0.000
Th 0.000 2.711 2.711
Th 2.711 0.000 2.711
Th 2.711 2.711 0.000
S 2.711 2.711 2.711
```

Below is a geometry-optimized PmSm5Sc2 structure, with properties calculated at the PBE level.

Results
Total magnetic moment = 0.000 μB per atom
Calculated formation energy = 13.1 kJ/mol of atoms
Offset from the most stable computed form = 0.0994 eV/atom
DOS at the Fermi energy = 10.4 states/eV/f.u.
Space-group type = I4/mcm (140)

extended XYZ file:
```
16
Lattice="-4.540 4.540 6.167 4.540 -4.540 6.167 4.540 4.540 -6.167" Properties=species:S:1:pos:R:3 pbc="T T T"
Pm 0.000 0.000 3.084
Pm 0.000 0.000 9.251
Sm 0.000 0.000 0.000
Sm 3.208 -1.331 1.950
Sm 5.871 -1.331 4.217
Sm 5.871 1.331 1.950
Sm 3.208 1.331 4.217
Sm 0.000 0.000 6.167
Sm 1.331 3.208 1.950
Sm -1.331 3.208 4.217
Sm -1.331 5.871 1.950
Sm 1.331 5.871 4.217
Sc 3.161 1.379 0.000
Sc 3.161 -1.379 6.167
Sc 1.379 5.919 0.000
Sc 1.379 3.161 6.167
```